# BaHoGaTe3, optimized geometry, DFT PBE
data_BaHoGaTe3
_chemical_formula_sum 'Ba4 Ho4 Ga4 Te12'
_cell_length_a 4.556
_cell_length_b 14.999
_cell_length_c 11.913
_cell_angle_alpha 90.00
_cell_angle_beta 90.00
_cell_angle_gamma 90.00
_space_group_name_H-M_alt 'C m c m'
_space_group_IT_number 63
_space_group_name_Hall '-C 2c 2'
loop_
_atom_site_label
_atom_site_type_symbol
_atom_site_fract_x
_atom_site_fract_y
_atom_site_fract_z
Ba1 Ba 0.000 0.241 0.250
Ho1 Ho 0.000 0.000 0.000
Ga1 Ga 0.000 0.459 0.750
Te1 Te 0.000 0.080 0.750
Te2 Te 0.000 0.359 0.530
# DFT total energy: -4.220 eV per atom

---

# LiLuCuSe3, optimized geometry, DFT PBE
data_LiLuCuSe3
_chemical_formula_sum 'Li4 Lu4 Cu4 Se12'
_cell_length_a 10.418
_cell_length_b 3.823
_cell_length_c 13.100
_cell_angle_alpha 90.00
_cell_angle_beta 90.00
_cell_angle_gamma 90.00
_space_group_name_H-M_alt 'P n m a'
_space_group_IT_number 62
_space_group_name_Hall '-P 2ac 2n'
loop_
_atom_site_label
_atom_site_type_symbol
_atom_site_fract_x
_atom_site_fract_y
_atom_site_fract_z
Li1 Li 0.220 0.250 0.023
Lu1 Lu 0.016 0.750 0.746
Cu1 Cu 0.236 0.750 0.227
Se1 Se 0.056 0.750 0.110
Se2 Se 0.092 0.250 0.605
Se3 Se 0.236 0.250 0.343
# DFT total energy: -4.505 eV per atom

---

- Which of these has the lowest DFT total energy?
  LiLuCuSe3